[1]
La8GaCo3I4: optimized geometry, GGA-PBE.

a = 8.3465 Å, b = 9.5191 Å, c = 8.5736 Å
α = 116.94°, β = 119.13°, γ = 90.00°
Closest atoms and distances in Å follow each position.
Fractional coordinates of all 16 atoms:
1 La 0.2918 0.3160 0.0422  2 Co 2.72-2.94, 1 Ga 2.97
2 La 0.7625 0.3206 0.5249  2 Co 2.76, 1 Ga 3.05
3 La 0.2375 0.6794 0.4751  2 Co 2.76, 1 Ga 3.05
4 La 0.7382 0.6881 0.4764  3 Co 2.81-3.05
5 La 0.7504 0.3160 0.0422  2 Co 2.72-2.94, 1 Ga 2.97
6 La 0.2618 0.3119 0.5236  3 Co 2.81-3.05
7 La 0.7082 0.6840 0.9578  2 Co 2.72-2.94, 1 Ga 2.97
8 La 0.2496 0.6840 0.9578  2 Co 2.72-2.94, 1 Ga 2.97
9 Co 0.5000 0.5000 0.5000  6 La 2.76-2.94
10 Co 0.5000 0.5000 0.0000  4 La 2.72
11 Co 0.0000 0.5000 0.5000  6 La 2.76-2.94
12 I 0.5000 0.0000 0.0000  6 La 3.44-3.51
13 I 0.5000 0.0000 0.5000  6 La 3.56-3.62
14 I 0.0000 0.0000 0.0000  6 La 3.48-3.64
15 I 0.0000 0.0000 0.5000  6 La 3.56-3.62
16 Ga 0.0000 0.5000 0.0000  6 La 2.97-3.05

Results
For the uncorrected energy, the calculation gives -80.9 eV per formula unit. The symmetry is C2/m. The value obtained for the total magnetic moment is 0.00 μB per atom. The uncorrected formation energy is -685 meV per atom.

[2]
La6GaCo2I3: optimized geometry, GGA-PBE.

a = 7.3488 Å, b = 7.3488 Å, c = 8.5405 Å
α = 98.58°, β = 98.58°, γ = 119.14°
Closest atoms and distances in Å follow each position.
Fractional coordinates of all 12 atoms:
1 La 0.7004 0.7004 0.1859  2 Co 2.79, 1 Ga 3.09
2 La 0.0546 0.4184 0.1893  2 Co 2.78-2.89, 1 Ga 3.06
3 La 0.5816 0.9454 0.8107  2 Co 2.78-2.89, 1 Ga 3.06
4 La 0.4184 0.0546 0.1893  2 Co 2.78-2.89, 1 Ga 3.06
5 La 0.9454 0.5816 0.8107  2 Co 2.78-2.89, 1 Ga 3.06
6 La 0.2996 0.2996 0.8141  2 Co 2.79, 1 Ga 3.09
7 Co 0.6664 0.3336 0.0000  6 La 2.78-2.89
8 Co 0.3336 0.6664 0.0000  6 La 2.78-2.89
9 I 0.8400 0.1600 0.5000  6 La 3.44-3.60
10 I 0.1600 0.8400 0.5000  6 La 3.44-3.60
11 I 0.5000 0.5000 0.5000  6 La 3.43-3.62
12 Ga 0.0000 0.0000 0.0000  6 La 3.06-3.09

Results
For the uncorrected energy, the calculation gives -59.9 eV per formula unit. The symmetry is C2/m. The value obtained for the total magnetic moment is 0.00 μB per atom. The uncorrected formation energy is -701 meV per atom.

[3]
La4GaCoI2: optimized geometry, GGA-PBE.

a = 4.2896 Å, b = 7.6070 Å, c = 8.4499 Å
α = 106.76°, β = 90.00°, γ = 90.00°
Closest atoms and distances in Å follow each position.
Fractional coordinates of all 8 atoms:
1 Ga 0.5000 0.5000 0.0000  6 La 3.01-3.07
2 La 0.0000 0.7713 0.1844  1 Co 2.65
3 La 0.0000 0.2287 0.8156  1 Co 2.65
4 La 0.5000 0.2230 0.1923  2 Co 2.92, 1 Ga 3.01
5 La 0.5000 0.7770 0.8077  2 Co 2.92, 1 Ga 3.01
6 I 0.5000 0.0000 0.5000  6 La 3.47-3.49
7 I 0.0000 0.5000 0.5000  6 La 3.56-3.81
8 Co 0.0000 0.0000 0.0000  6 La 2.65-2.92

Results
For the uncorrected energy, the calculation gives -38.7 eV per formula unit. The symmetry is P2/m. The value obtained for the total magnetic moment is 0.00 μB per atom. The uncorrected formation energy is -723 meV per atom.

[4]
La2GaCoI: optimized geometry, GGA-PBE.

a = 5.7000 Å, b = 5.7000 Å, c = 4.7560 Å
α = 90.00°, β = 90.00°, γ = 90.00°
Closest atoms and distances in Å follow each position.
Fractional coordinates of all 5 atoms:
1 La 0.0000 0.5000 0.0000  2 Co 2.85
2 La 0.5000 0.0000 0.0000  2 Co 2.85
3 Ga 0.0000 0.0000 0.5000  2 Co 2.38
4 Co 0.0000 0.0000 0.0000  2 Ga 2.38
5 I 0.5000 0.5000 0.5000  8 La 3.71, 4 Ga 4.03

Results
For the uncorrected energy, the calculation gives -24.2 eV per formula unit. The symmetry is P4/mmm. The value obtained for the total magnetic moment is 0.00 μB per atom. The uncorrected formation energy is -535 meV per atom.

[5]
Ga2CoMoI: optimized geometry, GGA-PBE.

a = 5.0104 Å, b = 5.2025 Å, c = 5.0104 Å
α = 90.00°, β = 90.00°, γ = 90.00°
Closest atoms and distances in Å follow each position.
Fractional coordinates of all 5 atoms:
1 I 0.0000 0.5000 0.0000  2 Mo 2.60
2 Mo 0.0000 0.0000 0.0000  4 Ga 2.51, 2 I 2.60
3 Ga 0.5000 0.0000 0.0000  2 Mo 2.51
4 Ga 0.0000 0.0000 0.5000  2 Mo 2.51
5 Co 0.5000 0.5000 0.5000  4 I 3.54, 8 Ga 3.61

Results
For the uncorrected energy, the calculation gives -19.8 eV per formula unit. The symmetry is P4/mmm. The value obtained for the total magnetic moment is 0.53 μB per atom. The uncorrected formation energy is 1144 meV per atom.

[6]
NbGaCoI2: optimized geometry, GGA-PBE.

a = 5.4510 Å, b = 4.3617 Å, c = 5.4510 Å
α = 90.00°, β = 90.00°, γ = 90.00°
Closest atoms and distances in Å follow each position.
Fractional coordinates of all 5 atoms:
1 I 0.5000 0.0000 0.0000  2 Ga 2.73
2 I 0.0000 0.0000 0.5000  2 Ga 2.73
3 Co 0.0000 0.5000 0.0000  2 Ga 2.18
4 Ga 0.0000 0.0000 0.0000  2 Co 2.18
5 Nb 0.5000 0.5000 0.5000  8 I 3.49, 4 Co 3.85

Results
For the uncorrected energy, the calculation gives -16.0 eV per formula unit. The symmetry is P4/mmm. The value obtained for the total magnetic moment is 0.02 μB per atom. The uncorrected formation energy is 1465 meV per atom.

Question: Which of these has the highest uncorrected energy?
Answer: NbGaCoI2